(1)
Density functional theory data (PBE-GGA) for Na3BeRh after structural relaxation.

a = 5.3367 Å, b = 5.3367 Å, c = 5.3367 Å
α = 90.00°, β = 90.00°, γ = 90.00°
Closest atoms and distances in Å follow each position.
Element x y z (fractional)
Na  0.0000  0.0000  0.5000  2 Rh 2.67
Na  0.0000  0.5000  0.0000  2 Rh 2.67
Na  0.5000  0.0000  0.0000  2 Rh 2.67
Be  0.5000  0.5000  0.5000  12 Na 3.77
Rh  0.0000  0.0000  0.0000  6 Na 2.67

Results
As for the density of states at the Fermi level: 0.075 states/eV/atom. As for the space-group type: Pm-3m. Its energy of formation is 1.02 eV/atom.

=====

(2)
Density functional theory data (PBE-GGA) for PmDyAgSn after structural relaxation.

a = 5.2982 Å, b = 5.2982 Å, c = 5.2982 Å
α = 60.00°, β = 60.00°, γ = 60.00°
Closest atoms and distances in Å follow each position.
Element x y z (fractional)
Pm  0.0000  0.0000  0.0000  4 Sn 3.24, 4 Ag 3.24
Dy  0.5000  0.5000  0.5000  4 Sn 3.24, 4 Ag 3.24
Ag  0.7500  0.7500  0.7500  4 Dy 3.24, 4 Pm 3.24
Sn  0.2500  0.2500  0.2500  4 Dy 3.24, 4 Pm 3.24

Results
As for the density of states at the Fermi level: 1.068 states/eV/atom. As for the space-group type: F-43m. Its energy of formation is -0.51 eV/atom.